(1)
Ba3InSn | PBE | optimized geometry

a = 7.839 Å, b = 9.418 Å, c = 11.444 Å
α = 90.00°, β = 90.00°, γ = 90.00°
Fractional positions:
Ba 0.745 0.250 0.876
In 0.559 0.750 0.878
Sn 0.442 0.250 0.626
Ba 0.256 0.452 0.374
In 0.441 0.250 0.122
Ba 0.756 0.952 0.126
Ba 0.256 0.048 0.374
Ba 0.245 0.750 0.624
Ba 0.744 0.952 0.626
Sn 0.942 0.750 0.874
Sn 0.058 0.250 0.126
Ba 0.756 0.548 0.126
Ba 0.255 0.750 0.124
Ba 0.744 0.548 0.626
Sn 0.558 0.750 0.374
In 0.941 0.750 0.378
Ba 0.244 0.048 0.874
Ba 0.244 0.452 0.874
In 0.059 0.250 0.622
Ba 0.755 0.250 0.376

relative energy among the computed polymorphs	0	meV/atom
formation energy	-0.47	eV/atom
symmetry	Pnma, No. 62

***

(2)
BaIn3Sn | PBE | optimized geometry

a = 6.938 Å, b = 6.938 Å, c = 7.326 Å
α = 90.00°, β = 90.00°, γ = 65.35°
Fractional positions:
In 0.411 0.614 0.052
In 0.149 0.352 0.552
Ba 0.539 0.742 0.552
In 0.040 0.723 0.802
In 0.521 0.243 0.302
In 0.521 0.243 0.802
Sn 0.903 0.105 0.552
In 0.040 0.723 0.302
Sn 0.658 0.861 0.052
Ba 0.021 0.224 0.052

relative energy among the computed polymorphs	1	meV/atom
formation energy	-0.34	eV/atom
symmetry	Cmcm, No. 63

***

Asked for raw total energy across the records above, the calculation gives -0.109; -0.116 hartree per atom in order.
Asked for density of states at the Fermi level across the records above, the calculation gives 1.0254; 0.4026 states/eV/atom in order.